1 | Compound: CaCuAg
Source: Alexandria via LeMat-Bulk
Functional: SCAN
Structure: PBEsol geometry

POSCAR file:
```
CaCuAg
1.0
-0.532 -2.029 -3.029
4.284 0.356 -0.990
-1.417 -3.352 2.494
Ca Ag Cu
1 1 1
direct
0.667 0.333 0.667
0.167 0.000 0.000
0.167 0.667 0.333
```

space group: P-6m2, No. 187

=====

2 | Compound: CaCuAg
Source: Alexandria via LeMat-Bulk
Functional: SCAN
Structure: PBEsol geometry

POSCAR file:
```
CaCuAg
1.0
4.584 0.000 0.000
2.292 3.970 0.000
2.292 1.323 3.743
Ca Cu Ag
1 1 1
direct
0.000 0.000 0.000
0.500 0.500 0.500
0.750 0.750 0.750
```

space group: F-43m, No. 216

=====

Of them, 2 has the lowest stability.

=====

1 | Compound: CaAgIr2
Source: Alexandria via LeMat-Bulk
Functional: SCAN
Structure: PBEsol geometry

POSCAR file:
```
CaAgIr2
1.0
-0.358 2.370 -2.101
0.936 -1.941 -2.348
-6.739 -1.963 -1.065
Ca Ir Ag
1 2 1
direct
0.500 0.500 0.764
0.000 0.000 0.049
0.500 0.500 0.226
0.000 0.000 0.460
```

space group: P4mm, No. 99

=====

2 | Compound: CaAgIr2
Source: Alexandria via LeMat-Bulk
Functional: SCAN
Structure: PBEsol geometry

POSCAR file:
```
CaAgIr2
1.0
-0.281 -1.932 -2.102
0.018 -3.527 3.239
-4.909 3.054 -0.194
Ca Ir Ag
1 2 1
direct
0.257 0.757 0.514
0.030 0.030 0.060
0.738 0.238 0.476
0.475 0.475 0.950
```

space group: Imm2, No. 44

=====

Of them, 1 has the lowest stability.

=====

1 | Compound: Ca2LaAg
Source: Alexandria via LeMat-Bulk
Functional: SCAN
Structure: PBEsol geometry

POSCAR file:
```
Ca2LaAg
1.0
5.513 0.000 0.000
2.756 4.774 0.000
2.756 1.591 4.501
Ca Ag La
2 1 1
direct
0.000 0.000 0.000
0.750 0.750 0.750
0.500 0.500 0.500
0.250 0.250 0.250
```

space group: F-43m, No. 216

=====

2 | Compound: Ca2LaAg
Source: Alexandria via LeMat-Bulk
Functional: SCAN
Structure: PBEsol geometry

POSCAR file:
```
Ca2LaAg
1.0
3.750 0.000 0.000
1.875 3.247 0.000
1.875 1.082 10.594
Ca Ag La
2 1 1
direct
0.266 0.266 0.201
0.734 0.734 0.799
0.000 0.000 0.000
0.500 0.500 0.500
```

space group: R-3m, No. 166

=====

Of them, 1 has the lowest stability.

=====

1 | Compound: Ca2LaAg
Source: Alexandria via LeMat-Bulk
Functional: SCAN
Structure: PBEsol geometry

POSCAR file:
```
Ca2LaAg
1.0
-2.112 1.356 2.733
2.296 -1.483 2.510
5.041 7.823 0.013
Ca Ag La
2 1 1
direct
0.000 0.000 0.940
0.500 0.500 0.249
0.500 0.500 0.754
0.000 0.000 0.556
```

space group: P4mm, No. 99

=====

2 | Compound: Ca2LaAg
Source: Alexandria via LeMat-Bulk
Functional: SCAN
Structure: PBEsol geometry

POSCAR file:
```
Ca2LaAg
1.0
3.797 0.000 0.000
1.899 3.289 0.000
1.899 1.096 10.682
Ca Ag La
2 1 1
direct
0.983 0.983 0.051
0.751 0.751 0.748
0.251 0.251 0.247
0.515 0.515 0.454
```

space group: R3m, No. 160

=====

Of them, 2 has the lowest stability.